Li3Pm3US8 after structural relaxation. Source: Alexandria via LeMat-Bulk, functional PBE.

Results
Formation energy (no corrections) = -25.49 eV/f.u.

```
data_Li3Pm3US8
_chemical_formula_sum 'Li3 Pm3 U1 S8'
_cell_length_a 8.0809
_cell_length_b 8.0797
_cell_length_c 7.7331
_cell_angle_alpha 121.52
_cell_angle_beta 90.00
_cell_angle_gamma 120.00
_space_group_name_H-M_alt 'P 1'
_space_group_IT_number 1
_space_group_name_Hall 'P 1'
loop_
_atom_site_label
_atom_site_type_symbol
_atom_site_fract_x
_atom_site_fract_y
_atom_site_fract_z
Li1 Li 0.0000 0.0000 0.0000
Li2 Li 0.0000 0.5000 0.0000
Li3 Li 0.5000 0.5000 0.0000
Pm1 Pm 0.5000 0.0000 0.5000
Pm2 Pm 0.5000 0.5000 0.5000
Pm3 Pm 0.0000 0.5000 0.5000
U1 U 0.0000 0.0000 0.5000
S1 S 0.2482 0.4965 0.2449
S2 S 0.7518 0.5035 0.7551
S3 S 0.7592 0.5185 0.2551
S4 S 0.2408 0.4815 0.7449
S5 S 0.7592 0.9956 0.2550
S6 S 0.2408 0.0044 0.7450
S7 S 0.2364 0.9956 0.2550
S8 S 0.7636 0.0044 0.7450
```